Record 1
# SrAgSn PBE relaxed
# E_tot = -10.09 eV/cell
# Total magnetization = 0.0000 μB/atom
# ΔH_f (0 K) = -520 meV/atom
data_SrAgSn
_cell_length_a 4.9842
_cell_length_b 4.9842
_cell_length_c 3.8882
_cell_angle_alpha 90.00
_cell_angle_beta 90.00
_cell_angle_gamma 120.00
_symmetry_space_group_name_H-M 'P -6 m 2'
_symmetry_Int_Tables_number 187
_symmetry_space_group_name_Hall 'P -6 2'
loop_
_atom_site_label
_atom_site_type_symbol
_atom_site_fract_x
_atom_site_fract_y
_atom_site_fract_z
Sr1 Sr 0.0000 0.0000 0.0000
Ag1 Ag 0.6667 0.3333 0.5000
Sn1 Sn 0.3333 0.6667 0.5000

***

Record 2
# SrAg2Sn PBE relaxed
# E_tot = -47.75 eV/cell
# Total magnetization = 0.0000 μB/atom
# ΔH_f (0 K) = -138 meV/atom
data_SrAg2Sn
_cell_length_a 5.179
_cell_length_b 5.179
_cell_length_c 18.760
_cell_angle_alpha 90.00
_cell_angle_beta 90.00
_cell_angle_gamma 90.00
_symmetry_space_group_name_H-M 'I -4 2 d'
_symmetry_Int_Tables_number 122
_symmetry_space_group_name_Hall 'I -4 2bw'
loop_
_atom_site_label
_atom_site_type_symbol
_atom_site_fract_x
_atom_site_fract_y
_atom_site_fract_z
Sr1 Sr 0.000 0.000 0.000
Ag1 Ag 0.097 0.250 0.625
Sn1 Sn 0.000 0.000 0.500